CuSe4Br after structural relaxation. Source: Alexandria via LeMat-Bulk, functional PBE.

Lattice parameters (Å, degrees): 5.723 5.723 5.723 60.00 60.00 60.00
Fractional positions:
1 Cu 0.000 0.000 0.000
2 Se 0.129 0.624 0.624
3 Se 0.624 0.129 0.624
4 Se 0.624 0.624 0.129
5 Se 0.624 0.624 0.624
6 Br 0.250 0.250 0.250

Summary:
distance to the lowest polymorph of the same formula	0.644	eV/atom
total moment	0.002	μB per cell
E_tot	-2.615	eV per atom
energy relative to the elements, uncorrected	0.6692	eV/atom

=====

CuSe2Br after structural relaxation. Source: Alexandria via LeMat-Bulk, functional PBE.

Lattice parameters (Å, degrees): 2.904 2.904 11.733 90.00 90.00 102.72
Fractional positions:
1 Cu 0.000 0.000 0.000
2 Se 0.500 0.500 0.158
3 Se 0.500 0.500 0.842
4 Br 0.000 0.000 0.500

Summary:
distance to the lowest polymorph of the same formula	0.426	eV/atom
total moment	0.000	μB per cell
E_tot	-2.968	eV per atom
energy relative to the elements, uncorrected	0.2163	eV/atom

=====

Cu2Se2Br after structural relaxation. Source: Alexandria via LeMat-Bulk, functional PBE.

Lattice parameters (Å, degrees): 5.758 5.799 7.547 68.30 83.89 78.72
Fractional positions:
1 Cu 0.088 0.211 0.466
2 Cu 0.176 0.655 0.961
3 Cu 0.824 0.345 0.039
4 Cu 0.912 0.789 0.534
5 Se 0.105 0.016 0.222
6 Se 0.383 0.307 0.191
7 Se 0.617 0.693 0.809
8 Se 0.895 0.984 0.778
9 Br 0.247 0.376 0.671
10 Br 0.753 0.624 0.329

Summary:
total moment	0.000	μB per cell
E_tot	-3.483	eV per atom
energy relative to the elements, uncorrected	-0.1158	eV/atom